Record 1
VASP calculation (PBE with a Hubbard U) on a geometry-optimized Na5VO5 structure.

space-group type = C2/c, No. 15
uncorrected energy = -5.217 eV/atom
ΔE to the lowest computed polymorph = 55 meV/atom

Cell: 5.9259 5.9259 9.9762 Å, 99.02 99.02 116.50°
Closest atoms and distances in Å follow each position.
Positions (direct):
1 Na 0.0587 0.2861 0.5530  5 O 2.28-2.53
2 Na 0.1656 0.8344 0.7500  5 O 2.26-2.52
3 Na 0.1721 0.4786 0.9189  4 O 2.27-2.44
4 Na 0.2861 0.0587 0.0530  5 O 2.28-2.53
5 Na 0.4786 0.1721 0.4189  4 O 2.27-2.44
6 Na 0.5214 0.8279 0.5811  4 O 2.27-2.44
7 Na 0.7139 0.9413 0.9470  5 O 2.28-2.53
8 Na 0.8279 0.5214 0.0811  4 O 2.27-2.44
9 Na 0.8344 0.1656 0.2500  5 O 2.26-2.52
10 Na 0.9413 0.7139 0.4470  5 O 2.28-2.53
11 V 0.4064 0.5936 0.2500  5 O 1.80-1.95
12 V 0.5936 0.4064 0.7500  5 O 1.80-1.95
13 O 0.1011 0.3143 0.1088  1 V 1.95
14 O 0.2070 0.5465 0.3761  1 V 1.83
15 O 0.3143 0.1011 0.6088  1 V 1.95
16 O 0.4153 0.5847 0.7500  1 V 1.80
17 O 0.4535 0.7930 0.1239  1 V 1.83
18 O 0.5465 0.2070 0.8761  1 V 1.83
19 O 0.5847 0.4153 0.2500  1 V 1.80
20 O 0.6857 0.8989 0.3912  1 V 1.95
21 O 0.7930 0.4535 0.6239  1 V 1.83
22 O 0.8989 0.6857 0.8912  1 V 1.95

---

Record 2
VASP calculation (PBE with a Hubbard U) on a geometry-optimized Na3VO3 structure.

space-group type = P2_1/c, No. 14
uncorrected energy = -5.351 eV/atom
ΔE to the lowest computed polymorph = 20 meV/atom

Cell: 6.1342 10.5025 6.3406 Å, 90.00 92.49 90.00°
Closest atoms and distances in Å follow each position.
Positions (direct):
1 Na 0.0152 0.2057 0.0233  3 O 2.30-2.41
2 Na 0.0152 0.2943 0.5233  3 O 2.30-2.41
3 Na 0.1540 0.5373 0.8694  3 O 2.25-2.49
4 Na 0.1540 0.9627 0.3694  3 O 2.25-2.49
5 Na 0.4335 0.2200 0.3901  4 O 2.38-2.50
6 Na 0.4335 0.2800 0.8901  4 O 2.38-2.50
7 Na 0.5665 0.7200 0.1099  4 O 2.38-2.50
8 Na 0.5665 0.7800 0.6099  4 O 2.38-2.50
9 Na 0.8460 0.0373 0.6306  3 O 2.25-2.49
10 Na 0.8460 0.4627 0.1306  3 O 2.25-2.49
11 Na 0.9848 0.7057 0.4767  3 O 2.30-2.41
12 Na 0.9848 0.7943 0.9767  3 O 2.30-2.41
13 V 0.3368 0.5097 0.3208  4 O 1.87-1.99
14 V 0.3368 0.9903 0.8208  4 O 1.87-1.99
15 V 0.6632 0.0097 0.1792  4 O 1.87-1.99
16 V 0.6632 0.4903 0.6792  4 O 1.87-1.99
17 O 0.2089 0.6543 0.1948  1 V 1.87
18 O 0.2089 0.8457 0.6948  1 V 1.87
19 O 0.2198 0.1297 0.6680  1 V 1.88
20 O 0.2198 0.3703 0.1680  1 V 1.88
21 O 0.3503 0.0527 0.1175  2 V 1.99
22 O 0.3503 0.4473 0.6175  2 V 1.99
23 O 0.6497 0.5527 0.3825  2 V 1.99
24 O 0.6497 0.9473 0.8825  2 V 1.99
25 O 0.7802 0.6297 0.8320  1 V 1.88
26 O 0.7802 0.8703 0.3320  1 V 1.88
27 O 0.7911 0.1543 0.3052  1 V 1.87
28 O 0.7911 0.3457 0.8052  1 V 1.87

---

Record 3
VASP calculation (PBE with a Hubbard U) on a geometry-optimized Na4V3O8 structure.

space-group type = P2_1/m, No. 11
uncorrected energy = -6.372 eV/atom

Cell: 6.9425 4.2553 12.1605 Å, 90.00 103.22 90.00°
Closest atoms and distances in Å follow each position.
Positions (direct):
1 Na 0.0312 0.2500 0.3363  4 O 2.20-2.40
2 Na 0.1917 0.2500 0.6027  5 O 2.25-2.48
3 Na 0.4018 0.2500 0.0357  4 O 2.24-2.48
4 Na 0.4675 0.7500 0.7145  4 O 2.23-2.48
5 Na 0.5325 0.2500 0.2855  4 O 2.23-2.48
6 Na 0.5982 0.7500 0.9643  4 O 2.24-2.48
7 Na 0.8083 0.7500 0.3973  5 O 2.25-2.48
8 Na 0.9688 0.7500 0.6637  4 O 2.20-2.40
9 V 0.0954 0.7500 0.9263  1 O 1.71
10 V 0.2067 0.7500 0.1898  4 O 1.84-2.05
11 V 0.3500 0.7500 0.4435  3 O 1.78-1.96
12 V 0.6500 0.2500 0.5565  3 O 1.78-1.96
13 V 0.7933 0.2500 0.8102  4 O 1.84-2.05
14 V 0.9046 0.2500 0.0737  1 O 1.71
15 O 0.0496 0.2500 0.9346  4 V 2.05-2.16
16 O 0.0913 0.7500 0.3121  1 V 1.84
17 O 0.1718 0.2500 0.1731  3 V 1.97-2.15
18 O 0.1956 0.7500 0.5425  1 V 1.78
19 O 0.2492 0.7500 0.8348  1 V 1.71
20 O 0.3261 0.7500 0.0651  2 V 1.89-2.04
21 O 0.3860 0.2500 0.4553  3 V 1.96-2.14
22 O 0.4534 0.7500 0.3070  2 V 1.95-1.96
23 O 0.5466 0.2500 0.6930  2 V 1.95-1.96
24 O 0.6140 0.7500 0.5447  3 V 1.96-2.14
25 O 0.6739 0.2500 0.9349  2 V 1.89-2.04
26 O 0.7508 0.2500 0.1652  1 V 1.71
27 O 0.8044 0.2500 0.4575  1 V 1.78
28 O 0.8282 0.7500 0.8269  3 V 1.97-2.15
29 O 0.9087 0.2500 0.6879  1 V 1.84
30 O 0.9504 0.7500 0.0654  4 V 2.05-2.16

---

Record 4
VASP calculation (PBE with a Hubbard U) on a geometry-optimized NaV5O8 structure.

space-group type = C2/m, No. 12
uncorrected energy = -7.553 eV/atom
ΔE to the lowest computed polymorph = 17 meV/atom

Cell: 7.8640 7.8640 7.2876 Å, 106.41 106.41 22.50°
Closest atoms and distances in Å follow each position.
Positions (direct):
1 Na 0.0000 0.0000 0.0000  4 O 2.65
2 V 0.1536 0.1536 0.4266  4 O 1.99-2.04
3 V 0.2027 0.2027 0.8324  6 O 1.98-2.20
4 V 0.5000 0.5000 0.5000  6 O 2.03-2.10
5 V 0.7973 0.7973 0.1676  6 O 1.98-2.20
6 V 0.8464 0.8464 0.5734  4 O 1.99-2.04
7 O 0.0825 0.0825 0.6235  4 V 2.03-2.04
8 O 0.2701 0.2701 0.3601  3 V 1.99-2.20
9 O 0.3256 0.3256 0.0169  3 V 1.98-2.01
10 O 0.4257 0.4257 0.6998  3 V 2.01-2.10
11 O 0.5743 0.5743 0.3002  3 V 2.01-2.10
12 O 0.6744 0.6744 0.9831  3 V 1.98-2.01
13 O 0.7299 0.7299 0.6399  3 V 1.99-2.20
14 O 0.9175 0.9175 0.3765  4 V 2.03-2.04

---

Record 5
VASP calculation (PBE with a Hubbard U) on a geometry-optimized NaVWO6 structure.

space-group type = P3, No. 143
uncorrected energy = -7.011 eV/atom
ΔE to the lowest computed polymorph = 5 meV/atom

Cell: 5.1370 5.1370 5.2415 Å, 90.00 90.00 120.00°
Closest atoms and distances in Å follow each position.
Positions (direct):
1 Na 0.0000 0.0000 0.0000  6 O 2.46-2.50
2 V 0.3333 0.6667 0.5519  3 O 1.78
3 W 0.6667 0.3333 0.4548  6 O 1.86-2.08
4 O 0.0020 0.3845 0.7058  1 V 1.78
5 O 0.0092 0.6298 0.2935  1 W 1.86
6 O 0.3702 0.3794 0.2935  1 W 1.86
7 O 0.3825 0.9980 0.7058  1 V 1.78
8 O 0.6155 0.6175 0.7058  1 V 1.78
9 O 0.6206 0.9908 0.2935  1 W 1.86

---

Record 6
VASP calculation (PBE with a Hubbard U) on a geometry-optimized NaVWO6 structure.

space-group type = Cm, No. 8
uncorrected energy = -7.016 eV/atom
ΔE to the lowest computed polymorph = 0 meV/atom

Cell: 5.1682 5.1682 7.3662 Å, 111.50 111.50 42.75°
Closest atoms and distances in Å follow each position.
Positions (direct):
1 Na 0.0000 0.0000 0.0000  6 O 2.40-2.48
2 V 0.1849 0.1849 0.6421  2 O 1.65-1.72
3 W 0.8244 0.8244 0.3870  4 O 1.77-1.96
4 O 0.0213 0.0213 0.6847  1 V 1.72
5 O 0.3133 0.3133 0.4531  2 W 1.96
6 O 0.3218 0.3218 0.8637  1 V 1.65
7 O 0.6727 0.6727 0.1515  1 W 1.77
8 O 0.7007 0.7007 0.5714  2 V 1.98, 1 W 2.13
9 O 0.9845 0.9845 0.3176  1 W 1.80